Density functional theory data (PBE-GGA) for an optimized crystal structure of Ca2IrAu.

Summary:
* energy: -61.30 eV/cell

```
Ca2IrAu
1.0
6.0955 0.0000 0.0000
0.0000 6.0955 0.0000
0.0000 0.0000 14.5421
Ca Ir Au
8 4 4
Cartesian
1.2550 1.5239 1.8178
1.5239 4.3028 5.4533
1.5239 4.8405 12.7243
1.7927 1.5239 9.0888
4.3028 4.5716 9.0888
4.5716 1.2550 12.7243
4.5716 1.7927 5.4533
4.8405 4.5716 1.8178
0.0000 0.0000 0.0000
0.0000 3.0477 3.6355
3.0477 0.0000 10.9066
3.0477 3.0477 7.2710
0.0000 0.0000 7.2710
0.0000 3.0477 10.9066
3.0477 0.0000 3.6355
3.0477 3.0477 0.0000
```